Record 1
A plane-wave DFT calculation with PBE was carried out for a geometry-optimized CuTeO2 structure.

Values from the calculation:
- raw total energy (eV/atom) = -4.72
- theoretical density (g cm⁻³) = 6.65
- symmetry = R-3m (166)

Cell lengths 6.5150, 6.5150, 6.5150 Å; angles 28.51, 28.51, 28.51 degrees
Closest atoms and distances in Å follow each position.
Atoms (fractional coordinates):
Te (0.0000, 0.0000, 0.0000)  2 O 2.11
O (0.8876, 0.8876, 0.8876)  1 Te 2.11, 3 Cu 2.11
O (0.1124, 0.1124, 0.1124)  1 Te 2.11, 3 Cu 2.11
Cu (0.5000, 0.5000, 0.5000)  6 O 2.11

=====

Record 2
A plane-wave DFT calculation with PBE was carried out for a geometry-optimized Rb2Tl6BiAu structure.

Values from the calculation:
- raw total energy (eV/atom) = -2.37
- calculated formation energy (kJ/mol of formula units) = -44
- theoretical density (g cm⁻³) = 7.68
- symmetry = R-3m (166)

Cell lengths 7.8367, 7.8367, 15.3437 Å; angles 75.20, 75.20, 60.00 degrees
Closest atoms and distances in Å follow each position.
Atoms (fractional coordinates):
Rb (0.9050, 0.9050, 0.2851)  9 Tl 4.14-4.30, 1 Au 4.18, 3 Bi 4.53
Rb (0.0950, 0.0950, 0.7149)  9 Tl 4.14-4.30, 1 Au 4.18, 3 Bi 4.53
Rb (0.7243, 0.7243, 0.8271)  12 Tl 3.93-4.22
Rb (0.2757, 0.2757, 0.1729)  12 Tl 3.93-4.22
Tl (0.9073, 0.3439, 0.4050)  1 Au 2.91
Tl (0.3439, 0.9073, 0.4050)  1 Au 2.91
Tl (0.3439, 0.3439, 0.4050)  1 Au 2.91
Tl (0.0927, 0.6561, 0.5950)  1 Au 2.91
Tl (0.6561, 0.0927, 0.5950)  1 Au 2.91
Tl (0.6561, 0.6561, 0.5950)  1 Au 2.91
Tl (0.6271, 0.2215, 0.9298)  1 Au 2.88, 2 Tl 3.18
Tl (0.2215, 0.6271, 0.9298)  1 Au 2.88, 2 Tl 3.18
Tl (0.2215, 0.2215, 0.9298)  1 Au 2.88, 2 Tl 3.18
Tl (0.3729, 0.7785, 0.0702)  1 Au 2.88, 2 Tl 3.18
Tl (0.7785, 0.3729, 0.0702)  1 Au 2.88, 2 Tl 3.18
Tl (0.7785, 0.7785, 0.0702)  1 Au 2.88, 2 Tl 3.18
Bi (0.5778, 0.5778, 0.2665)  6 Tl 3.26-3.41, 1 Au 3.42
Bi (0.4222, 0.4222, 0.7335)  6 Tl 3.26-3.41, 1 Au 3.42
Au (0.0000, 0.0000, 0.0000)  6 Tl 2.88
Au (0.5000, 0.5000, 0.5000)  6 Tl 2.91

=====

Record 3
A plane-wave DFT calculation with PBE was carried out for a geometry-optimized HoScTcNi structure.

Values from the calculation:
- raw total energy (eV/atom) = -6.98
- calculated formation energy (kJ/mol of formula units) = -83
- theoretical density (g cm⁻³) = 8.53
- symmetry = F-43m (216)

Cell lengths 4.6567, 4.6567, 4.6567 Å; angles 60.00, 60.00, 60.00 degrees
Closest atoms and distances in Å follow each position.
Atoms (fractional coordinates):
Sc (0.0000, 0.0000, 0.0000)  4 Tc 2.85, 4 Ni 2.85
Ni (0.2500, 0.2500, 0.2500)  4 Ho 2.85, 4 Sc 2.85
Ho (0.5000, 0.5000, 0.5000)  4 Ni 2.85, 4 Tc 2.85
Tc (0.7500, 0.7500, 0.7500)  4 Ho 2.85, 4 Sc 2.85

=====

Record 4
A plane-wave DFT calculation with PBE was carried out for a geometry-optimized LaAlRu structure.

Values from the calculation:
- raw total energy (eV/atom) = -5.22
- calculated formation energy (kJ/mol of formula units) = 219
- theoretical density (g cm⁻³) = 5.78
- symmetry = F-43m (216)

Cell lengths 4.7682, 4.7682, 4.7682 Å; angles 60.00, 60.00, 60.00 degrees
Closest atoms and distances in Å follow each position.
Atoms (fractional coordinates):
Ru (0.0000, 0.0000, 0.0000)  4 La 2.92
Al (0.5000, 0.5000, 0.5000)  4 La 2.92
La (0.7500, 0.7500, 0.7500)  4 Al 2.92, 4 Ru 2.92

=====

Record 5
A plane-wave DFT calculation with PBE was carried out for a geometry-optimized LaYAsSe2 structure.

Values from the calculation:
- energy above the most stable polymorph in this dataset (meV per atom) = 529
- raw total energy (eV/atom) = -5.10
- theoretical density (g cm⁻³) = 4.45
- symmetry = P4/mmm (123)

Cell lengths 5.5738, 5.5738, 5.5295 Å; angles 90.00, 90.00, 90.00 degrees
Closest atoms and distances in Å follow each position.
Atoms (fractional coordinates):
Y (0.5000, 0.5000, 0.5000)  8 Se 3.93, 4 As 3.94
As (0.0000, 0.0000, 0.5000)  2 La 2.76
Se (0.0000, 0.5000, 0.0000)  2 La 2.79
Se (0.5000, 0.0000, 0.0000)  2 La 2.79
La (0.0000, 0.0000, 0.0000)  2 As 2.76, 4 Se 2.79

=====

Record 6
A plane-wave DFT calculation with PBE was carried out for a geometry-optimized K2HoMn2Se4 structure.

Values from the calculation:
- raw total energy (eV/atom) = -5.43
- theoretical density (g cm⁻³) = 4.62
- symmetry = C2/m (12)

Cell lengths 4.1701, 7.9570, 7.9706 Å; angles 109.07, 105.16, 90.00 degrees
Closest atoms and distances in Å follow each position.
Atoms (fractional coordinates):
K (0.1308, 0.5553, 0.2616)  7 Se 3.44-3.49, 1 K 3.82, 3 Mn 3.84-3.85
K (0.8692, 0.4447, 0.7384)  7 Se 3.44-3.49, 1 K 3.82, 3 Mn 3.84-3.85
Ho (0.0000, 0.0000, 0.0000)  6 Se 2.89-2.92
Mn (0.6791, 0.9838, 0.3583)  4 Se 2.50-2.61
Mn (0.3209, 0.0162, 0.6417)  4 Se 2.50-2.61
Se (0.1999, 0.1807, 0.3997)  3 Mn 2.56-2.61
Se (0.8001, 0.8193, 0.6003)  3 Mn 2.56-2.61
Se (0.5182, 0.7631, 0.0364)  1 Mn 2.50
Se (0.4818, 0.2369, 0.9636)  1 Mn 2.50

=====

Record 7
A plane-wave DFT calculation with PBE was carried out for a geometry-optimized BaAl2Ir structure.

Values from the calculation:
- raw total energy (eV/atom) = -4.44
- calculated formation energy (kJ/mol of formula units) = 51
- theoretical density (g cm⁻³) = 7.68
- symmetry = Fm-3m (225)

Cell lengths 4.8950, 4.8950, 4.8950 Å; angles 60.00, 60.00, 60.00 degrees
Closest atoms and distances in Å follow each position.
Atoms (fractional coordinates):
Ir (0.5000, 0.5000, 0.5000)  8 Al 3.00
Ba (0.0000, 0.0000, 0.0000)  8 Al 3.00
Al (0.2500, 0.2500, 0.2500)  4 Ba 3.00, 4 Ir 3.00
Al (0.7500, 0.7500, 0.7500)  4 Ir 3.00, 4 Ba 3.00

=====

Record 8
A plane-wave DFT calculation with PBE was carried out for a geometry-optimized K2RbBi structure.

Values from the calculation:
- raw total energy (eV/atom) = -2.08
- calculated formation energy (kJ/mol of formula units) = -124
- theoretical density (g cm⁻³) = 3.53
- symmetry = F-43m (216)

Cell lengths 6.2847, 6.2847, 6.2846 Å; angles 60.00, 60.00, 60.00 degrees
Closest atoms and distances in Å follow each position.
Atoms (fractional coordinates):
K (0.9999, 0.9999, 0.0003)  4 K 3.85, 4 Bi 3.85
K (0.2502, 0.2502, 0.2494)  4 Rb 3.85, 4 K 3.85
Rb (0.5000, 0.5000, 0.4999)  4 K 3.85, 4 Bi 3.85
Bi (0.7499, 0.7499, 0.7503)  4 Rb 3.85, 4 K 3.85

=====

Record 9
A plane-wave DFT calculation with PBE was carried out for a geometry-optimized SrCa2LaPt structure.

Values from the calculation:
- raw total energy (eV/atom) = -3.82
- calculated formation energy (kJ/mol of formula units) = -234
- theoretical density (g cm⁻³) = 4.35
- symmetry = P4/mmm (123)

Cell lengths 5.8305, 5.8305, 5.6309 Å; angles 90.00, 90.00, 90.00 degrees
Closest atoms and distances in Å follow each position.
Atoms (fractional coordinates):
Sr (0.5000, 0.5000, 0.5000)  8 Ca 4.05, 4 La 4.12
Ca (0.0000, 0.5000, 0.0000)  2 Pt 2.92
Ca (0.5000, 0.0000, 0.0000)  2 Pt 2.92
Pt (0.0000, 0.0000, 0.0000)  2 La 2.82, 4 Ca 2.92
La (0.0000, 0.0000, 0.5000)  2 Pt 2.82

=====

Record 10
A plane-wave DFT calculation with PBE was carried out for a geometry-optimized LaNiC3 structure.

Values from the calculation:
- energy above the most stable polymorph in this dataset (meV per atom) = 1877
- raw total energy (eV/atom) = -4.48
- calculated formation energy (kJ/mol of formula units) = 1540
- theoretical density (g cm⁻³) = 4.44
- symmetry = Pm-3m (221)

Cell lengths 4.4359, 4.4359, 4.4359 Å; angles 90.00, 90.00, 90.00 degrees
Closest atoms and distances in Å follow each position.
Atoms (fractional coordinates):
Ni (0.5000, 0.5000, 0.5000)  12 C 3.14
C (0.0000, 0.5000, 0.0000)  2 La 2.22
C (0.0000, 0.0000, 0.5000)  2 La 2.22
C (0.5000, 0.0000, 0.0000)  2 La 2.22
La (0.0000, 0.0000, 0.0000)  6 C 2.22

=====

Record 11
A plane-wave DFT calculation with PBE was carried out for a geometry-optimized Cs2PmAsO6 structure.

Values from the calculation:
- raw total energy (eV/atom) = -5.66
- theoretical density (g cm⁻³) = 4.05
- symmetry = P-3m1 (164)

Cell lengths 5.9161, 6.8201, 6.8201 Å; angles 120.00, 90.00, 90.00 degrees
Closest atoms and distances in Å follow each position.
Atoms (fractional coordinates):
Cs (0.1231, 0.3333, 0.6667)  3 O 3.06
Cs (0.8769, 0.6667, 0.3333)  3 O 3.06
Pm (0.5000, 0.0000, 0.0000)  6 O 2.37
As (0.0000, 0.0000, 0.0000)  6 O 1.87
O (0.8107, 0.1264, 0.2528)  1 As 1.87
O (0.8107, 0.1264, 0.8736)  1 As 1.87
O (0.8107, 0.7472, 0.8736)  1 As 1.87
O (0.1893, 0.8736, 0.1264)  1 As 1.87
O (0.1893, 0.2528, 0.1264)  1 As 1.87
O (0.1893, 0.8736, 0.7472)  1 As 1.87

=====

Record 12
A plane-wave DFT calculation with PBE was carried out for a geometry-optimized TbScCu2 structure.

Values from the calculation:
- energy above the most stable polymorph in this dataset (meV per atom) = 14
- raw total energy (eV/atom) = -5.02
- calculated formation energy (kJ/mol of formula units) = -90
- theoretical density (g cm⁻³) = 7.12
- symmetry = Fm-3m (225)

Cell lengths 4.7782, 4.7782, 4.7782 Å; angles 60.00, 60.00, 60.00 degrees
Closest atoms and distances in Å follow each position.
Atoms (fractional coordinates):
Sc (0.5000, 0.5000, 0.5000)  8 Cu 2.93
Tb (0.0000, 0.0000, 0.0000)  8 Cu 2.93
Cu (0.2500, 0.2500, 0.2500)  4 Tb 2.93, 4 Sc 2.93
Cu (0.7500, 0.7500, 0.7500)  4 Tb 2.93, 4 Sc 2.93

=====

| no. | M_tot (μB per cell) |
| --- | --- |
| 1 | 1.0 |
| 2 | 0.0 |
| 3 | 0.0 |
| 4 | 0.0 |
| 5 | 0.3 |
| 6 | 9.0 |
| 7 | 0.0 |
| 8 | 0.0 |
| 9 | 0.0 |
| 10 | 0.0 |
| 11 | 2.1 |
| 12 | 0.0 |